Entry 1:
GGA-PBE Cs2Na2PbCl7, relaxed; crystal system = monoclinic; space group = C2/m, No. 12; total magnetic moment = 1.26 μB per formula unit; uncorrected energy = -0.233 Ry/atom
1.0
3.641 -3.933 0.000
3.641 3.933 0.000
-2.353 0.000 13.953
Cs Na Pb Cl
2 2 1 7
Direct
0.204 0.204 0.368
0.796 0.796 0.632
0.351 0.351 0.803
0.649 0.649 0.197
0.000 0.000 0.000
0.141 0.704 0.152
0.290 0.290 0.613
0.296 0.859 0.848
0.500 0.500 0.000
0.704 0.141 0.152
0.710 0.710 0.387
0.859 0.296 0.848

***

Entry 2:
GGA-PBE V8ReMo2, relaxed; crystal system = orthorhombic; formation enthalpy at 0 K = 0.008 eV per atom; space group = Cmmm, No. 65; total magnetic moment = 0.00 μB per formula unit; uncorrected energy = -0.715 Ry/atom
1.0
2.439 -6.849 0.000
2.439 6.849 0.000
0.000 0.000 4.716
V Re Mo
8 1 2
Direct
0.000 0.000 0.244
0.000 0.000 0.756
0.089 0.414 0.500
0.405 0.595 0.000
0.414 0.089 0.500
0.586 0.911 0.500
0.595 0.405 0.000
0.911 0.586 0.500
0.500 0.500 0.500
0.199 0.801 0.000
0.801 0.199 0.000

***

Entry 3:
GGA-PBE PWS2I, relaxed; crystal system = tetragonal; space group = P4/mmm, No. 123; total magnetic moment = 3.03 μB per formula unit; uncorrected energy = -0.264 Ry/atom
1.0
4.932 0.000 0.000
0.000 4.932 0.000
0.000 0.000 5.185
P W S I
1 1 2 1
Direct
0.000 0.000 0.000
0.500 0.500 0.000
0.000 0.500 0.500
0.500 0.000 0.500
0.000 0.000 0.500

***

Entry 4:
GGA-PBE LiMn3, relaxed; crystal system = orthorhombic; formation enthalpy at 0 K = 0.282 eV per atom; space group = Cmcm, No. 63; total magnetic moment = 3.51 μB per formula unit; uncorrected energy = -0.520 Ry/atom
1.0
3.055 -4.028 0.000
3.055 4.028 0.000
0.000 0.000 3.982
Li Mn
2 6
Direct
0.121 0.879 0.750
0.879 0.121 0.250
0.132 0.387 0.750
0.370 0.630 0.250
0.387 0.132 0.250
0.613 0.868 0.750
0.630 0.370 0.750
0.868 0.613 0.250

***

Entry 5:
GGA-PBE Tb2HAu, relaxed; crystal system = triclinic; space group = P-1, No. 2; total magnetic moment = 0.00 μB per formula unit; uncorrected energy = -0.341 Ry/atom
1.0
3.777 0.000 0.000
-0.006 6.853 0.000
-1.884 -2.624 6.544
Tb H Au
4 2 2
Direct
0.019 0.273 0.038
0.295 0.279 0.592
0.705 0.721 0.408
0.981 0.727 0.962
0.114 0.614 0.226
0.886 0.386 0.774
0.379 0.921 0.757
0.621 0.079 0.243

***

Entry 6:
GGA-PBE SiMoSeBr2, relaxed; crystal system = tetragonal; space group = P4/mmm, No. 123; total magnetic moment = 4.53 μB per formula unit; uncorrected energy = -0.288 Ry/atom
1.0
5.034 0.000 0.000
0.000 5.034 0.000
0.000 0.000 5.105
Si Mo Se Br
1 1 1 2
Direct
0.000 0.000 0.000
0.500 0.500 0.500
0.000 0.000 0.500
0.000 0.500 0.000
0.500 0.000 0.000

***

Entry 7:
GGA-PBE LaIr2Ru, relaxed; crystal system = trigonal; formation enthalpy at 0 K = 0.455 eV per atom; space group = R3m, No. 160; total magnetic moment = 0.22 μB per formula unit; uncorrected energy = -0.553 Ry/atom
1.0
1.428 0.824 9.792
-1.428 0.824 9.792
0.000 -1.649 9.792
La Ir Ru
1 2 1
Direct
0.000 0.000 0.000
0.501 0.501 0.501
0.759 0.759 0.759
0.238 0.238 0.238

***

Entry 8:
GGA-PBE Rb8Hg2O, relaxed; crystal system = monoclinic; space group = C2/m, No. 12; total magnetic moment = 0.00 μB per formula unit; uncorrected energy = -0.108 Ry/atom
1.0
11.256 -3.473 0.000
11.256 3.473 0.000
-2.935 0.000 7.594
Rb Hg O
8 2 1
Direct
0.005 0.005 0.243
0.228 0.228 0.205
0.396 0.396 0.697
0.415 0.415 0.162
0.585 0.585 0.838
0.604 0.604 0.303
0.772 0.772 0.795
0.995 0.995 0.757
0.162 0.162 0.659
0.838 0.838 0.341
0.500 0.500 0.000

***

Entry 9:
GGA-PBE Mn2ZnCl6, relaxed; crystal system = monoclinic; space group = C2/c, No. 15; total magnetic moment = 10.00 μB per formula unit; uncorrected energy = -0.330 Ry/atom
1.0
6.833 -6.794 0.000
6.833 6.794 0.000
-2.765 0.000 5.956
Mn Zn Cl
4 2 12
Direct
0.135 0.299 0.380
0.299 0.135 0.880
0.701 0.865 0.120
0.865 0.701 0.620
0.297 0.703 0.750
0.703 0.297 0.250
0.097 0.679 0.862
0.100 0.245 0.691
0.245 0.100 0.191
0.292 0.506 0.444
0.321 0.903 0.638
0.494 0.708 0.056
0.506 0.292 0.944
0.679 0.097 0.362
0.708 0.494 0.556
0.755 0.900 0.809
0.900 0.755 0.309
0.903 0.321 0.138

***

Entry 10:
GGA-PBE Sc3AgN, relaxed; crystal system = trigonal; space group = R-3c, No. 167; total magnetic moment = 0.00 μB per formula unit; uncorrected energy = -0.469 Ry/atom
1.0
3.241 1.871 6.456
-3.241 1.871 6.456
0.000 -3.743 6.456
Sc Ag N
6 2 2
Direct
0.053 0.750 0.447
0.250 0.553 0.947
0.447 0.053 0.750
0.553 0.947 0.250
0.750 0.447 0.053
0.947 0.250 0.553
0.000 0.000 0.000
0.500 0.500 0.500
0.250 0.250 0.250
0.750 0.750 0.750

***

Entry 11:
GGA-PBE YTcSe2, relaxed; crystal system = trigonal; space group = R-3m, No. 166; total magnetic moment = 0.00 μB per formula unit; uncorrected energy = -0.497 Ry/atom
1.0
2.052 1.185 5.424
-2.052 1.185 5.424
0.000 -2.369 5.424
Y Tc Se
1 1 2
Direct
0.000 0.000 0.000
0.500 0.500 0.500
0.233 0.233 0.233
0.767 0.767 0.767

***

Entry 12:
GGA-PBE K2BaP2, relaxed; crystal system = tetragonal; formation enthalpy at 0 K = -0.414 eV per atom; space group = P4/mbm, No. 127; total magnetic moment = 0.00 μB per formula unit; uncorrected energy = -0.250 Ry/atom
1.0
7.928 0.000 0.000
0.000 7.928 0.000
0.000 0.000 5.398
K Ba P
4 2 4
Direct
0.158 0.342 0.000
0.342 0.842 0.000
0.658 0.158 0.000
0.842 0.658 0.000
0.000 0.000 0.500
0.500 0.500 0.500
0.099 0.599 0.500
0.401 0.099 0.500
0.599 0.901 0.500
0.901 0.401 0.500